Entry from Alexandria: a relaxed structure of EuScCd (GGA-PBE).

Results
total DFT energy (no corrections)	-17.60	eV for the cell shown
crystal system	trigonal
ΔE_f	-0.03	eV/atom

Cell lengths 5.2068, 5.2068, 3.6585 Å; angles 90.00, 90.00, 120.00 degrees
Space group P3m1 (No. 156)
Asymmetric unit:
Eu1 0.0000 0.0000 0.0000
Sc1 0.3333 0.6667 0.5040
Cd1 0.6667 0.3333 0.4931